This record from the Alexandria database describes Er4Co2Sn after structural relaxation. The functional is PBE.

Output
DOS(E_F) ... 0.925 states/eV/atom
E_form ... -0.272 eV per atom
Spin magnetization ... 0.0 μB per formula unit
Raw total energy ... -38.37 eV per formula unit

a b c (Å): 8.7621 8.7621 6.4598
angles (deg): 109.15 109.15 121.05
Closest atoms and distances in Å follow each position.
Sites, in units of the cell vectors:
Er 0.0174 0.9826 0.5000  3 Co 2.77-2.97
Er 0.1699 0.7075 0.3784  3 Co 2.77-2.99
Er 0.4355 0.5566 0.6432  3 Co 2.64-2.82
Er 0.5566 0.4355 0.1432  3 Co 2.64-2.82
Er 0.6001 0.9807 0.2346  3 Co 2.64-2.82
Er 0.7075 0.1699 0.8784  3 Co 2.77-2.99
Er 0.9807 0.6001 0.7346  3 Co 2.64-2.82
Er 0.9826 0.0174 0.0000  3 Co 2.77-2.97
Co 0.0044 0.3230 0.4025  5 Er 2.64-2.92, 1 Sn 2.87
Co 0.3230 0.0044 0.9025  5 Er 2.64-2.92, 1 Sn 2.87
Co 0.6117 0.7920 0.4764  5 Er 2.64-2.91, 1 Sn 2.85
Co 0.7920 0.6117 0.9764  5 Er 2.64-2.91, 1 Sn 2.85
Sn 0.1804 0.4300 0.9421  2 Co 2.85-2.87, 4 Er 3.09-3.13
Sn 0.4300 0.1804 0.4421  2 Co 2.85-2.87, 4 Er 3.09-3.13

***

This record from the Alexandria database describes Er4CoSn after structural relaxation. The functional is PBE.

Output
DOS(E_F) ... 0.855 states/eV/atom
E_form ... -0.391 eV per atom
Spin magnetization ... 0.3 μB per formula unit
Raw total energy ... -31.70 eV per formula unit

a b c (Å): 8.7462 8.7462 5.7489
angles (deg): 108.98 108.98 47.69
Closest atoms and distances in Å follow each position.
Sites, in units of the cell vectors:
Er 0.1384 0.6273 0.3847  2 Co 2.80
Er 0.2116 0.7884 0.0000  2 Co 2.55
Er 0.3233 0.3233 0.8263  2 Co 3.05-3.06, 2 Er 3.34
Er 0.3727 0.8616 0.6153  2 Co 2.80
Er 0.6273 0.1384 0.3847  2 Co 2.80
Er 0.6767 0.6767 0.1737  2 Co 3.05-3.06, 2 Er 3.34
Er 0.7884 0.2116 0.0000  2 Co 2.55
Er 0.8616 0.3727 0.6153  2 Co 2.80
Co 0.4999 0.4999 0.2661  6 Er 2.55-2.80, 1 Co 2.69
Co 0.5001 0.5001 0.7339  6 Er 2.55-2.80, 1 Co 2.69
Sn 0.1953 0.1953 0.1964  12 Er 3.28-3.61
Sn 0.8047 0.8047 0.8036  12 Er 3.28-3.61

***

This record from the Alexandria database describes Er3CoSn after structural relaxation. The functional is PBE.

Output
DOS(E_F) ... 0.875 states/eV/atom
E_form ... -0.317 eV per atom
Spin magnetization ... 0.0 μB per formula unit
Raw total energy ... -26.38 eV per formula unit

a b c (Å): 5.0690 5.0690 5.0690
angles (deg): 90.00 90.00 90.00
Closest atoms and distances in Å follow each position.
Sites, in units of the cell vectors:
Er 0.0000 0.0000 0.5000  2 Co 2.53
Er 0.0000 0.5000 0.0000  2 Co 2.53
Er 0.5000 0.0000 0.0000  2 Co 2.53
Co 0.0000 0.0000 0.0000  6 Er 2.53
Sn 0.5000 0.5000 0.5000  12 Er 3.58

***

This record from the Alexandria database describes Er2Co2Sn3 after structural relaxation. The functional is PBE.

Output
DOS(E_F) ... 0.859 states/eV/atom
E_form ... -0.398 eV per atom
Spin magnetization ... 0.0 μB per formula unit
Raw total energy ... -38.14 eV per formula unit

a b c (Å): 5.6082 5.6082 7.2698
angles (deg): 112.85 112.85 43.14
Closest atoms and distances in Å follow each position.
Sites, in units of the cell vectors:
Er 0.1515 0.1515 0.2986  4 Co 3.01-3.04, 5 Sn 3.19-3.30
Er 0.8485 0.8485 0.7014  4 Co 3.01-3.04, 5 Sn 3.19-3.30
Co 0.1413 0.1413 0.7102  5 Sn 2.62-2.75
Co 0.8587 0.8587 0.2898  5 Sn 2.62-2.75
Sn 0.3720 0.3720 0.0484  3 Co 2.63-2.75
Sn 0.5000 0.5000 0.5000  4 Co 2.62
Sn 0.6280 0.6280 0.9516  3 Co 2.63-2.75